#i
Compound: SiSbTe2N
Source: the Alexandria database
Functional: PBE-GGA
Structure: relaxed

Output
The value obtained for the calculated volume is 133.1 Å³ per cell. The density of states at the Fermi level is 0.7246 states/eV/atom.

abc: 5.8210 5.8210 3.9271
angles: 90.00 90.00 90.00
Last column: nearest neighbours and their distance in Å.
Positions (direct):
Te 0.5000 0.0000 0.0000  2 Sb 2.91
Te 0.0000 0.5000 0.0000  2 Sb 2.91
N 0.0000 0.0000 0.5000  2 Sb 1.96
Si 0.5000 0.5000 0.5000  8 Te 3.51, 2 Si 3.93
Sb 0.0000 0.0000 0.0000  2 N 1.96

#ii
Compound: SiSbTe2N
Source: the Alexandria database
Functional: PBE-GGA
Structure: relaxed

Output
The value obtained for the calculated volume is 111.8 Å³ per cell. The density of states at the Fermi level is 0.7812 states/eV/atom.

abc: 5.8029 5.8029 3.3205
angles: 90.00 90.00 90.00
Last column: nearest neighbours and their distance in Å.
Positions (direct):
Sb 0.5000 0.5000 0.5000  2 Sb 3.32, 8 Te 3.34
Te 0.5000 0.0000 0.0000  2 Si 2.90
Si 0.0000 0.0000 0.0000  2 N 1.66
Te 0.0000 0.5000 0.0000  2 Si 2.90
N 0.0000 0.0000 0.5000  2 Si 1.66

Name the least stable of them. #i.

#i
Compound: SiSbTeN2
Source: the Alexandria database
Functional: PBE-GGA
Structure: relaxed

Output
The value obtained for the calculated volume is 106.4 Å³ per cell. The density of states at the Fermi level is 0.4776 states/eV/atom.

abc: 4.0497 4.0497 6.4878
angles: 90.00 90.00 90.00
Last column: nearest neighbours and their distance in Å.
Positions (direct):
Si 0.5000 0.5000 0.5000  4 Te 2.86
Te 0.0000 0.0000 0.5000  4 Si 2.86
N 0.5000 0.0000 0.0000  2 Sb 2.02
N 0.0000 0.5000 0.0000  2 Sb 2.02
Sb 0.0000 0.0000 0.0000  4 N 2.02

#ii
Compound: SiSbTeN2
Source: the Alexandria database
Functional: PBE-GGA
Structure: relaxed

Output
The value obtained for the calculated volume is 82.3 Å³ per cell. The density of states at the Fermi level is 0.2674 states/eV/atom.

abc: 3.9448 3.9448 5.2912
angles: 90.00 90.00 90.00
Last column: nearest neighbours and their distance in Å.
Positions (direct):
N 0.0000 0.5000 0.0000  2 Si 1.97
Sb 0.5000 0.5000 0.5000  4 Te 2.79
Si 0.0000 0.0000 0.0000  4 N 1.97
Te 0.0000 0.0000 0.5000  2 Si 2.65, 4 Sb 2.79
N 0.5000 0.0000 0.0000  2 Si 1.97

Name the least stable of them. #i.

#i
Compound: SmSbN
Source: the Alexandria database
Functional: PBE-GGA
Structure: relaxed

Output
The value obtained for the calculated volume is 339.1 Å³ per cell. The density of states at the Fermi level is 0.8576 states/eV/atom.

abc: 7.3625 7.3625 8.2291
angles: 118.04 118.04 87.09
Last column: nearest neighbours and their distance in Å.
Positions (direct):
N 0.1250 0.3750 0.7500  2 Sm 2.17
N 0.6250 0.3750 0.2500  2 Sm 2.17
Sb 0.3600 0.8600 0.7200  1 Sb 2.76
N 0.6250 0.8750 0.2500  2 Sm 2.17
Sm 0.5559 0.4441 0.5000  2 N 2.17
Sm 0.9441 0.0559 0.5000  2 N 2.17
Sb 0.1100 0.1100 0.2200  1 Sb 2.76
Sb 0.1400 0.6400 0.2800  1 Sb 2.76
N 0.6250 0.3750 0.7500  2 Sm 2.17
Sb 0.8900 0.8900 0.7800  1 Sb 2.76
Sm 0.6941 0.3059 0.0000  2 N 2.17
Sm 0.3059 0.6941 0.0000  2 N 2.17

#ii
Compound: SmSbN
Source: the Alexandria database
Functional: PBE-GGA
Structure: relaxed

Output
The value obtained for the calculated volume is 140.6 Å³ per cell. The density of states at the Fermi level is 0.6554 states/eV/atom.

abc: 4.1676 4.1676 8.0934
angles: 90.00 90.00 90.00
Last column: nearest neighbours and their distance in Å.
Positions (direct):
N 0.7500 0.7500 0.5000  4 Sm 2.32
N 0.2500 0.2500 0.5000  4 Sm 2.32
Sb 0.7500 0.2500 0.0615  4 Sb 3.11
Sb 0.2500 0.7500 0.9385  4 Sb 3.11
Sm 0.2500 0.7500 0.3738  4 N 2.32
Sm 0.7500 0.2500 0.6262  4 N 2.32

Name the least stable of them. #i.

#i
Compound: Sm4Sb2N
Source: the Alexandria database
Functional: PBE-GGA
Structure: relaxed

Output
The value obtained for the calculated volume is 182.8 Å³ per cell. The density of states at the Fermi level is 0.8388 states/eV/atom.

abc: 4.0101 8.2654 8.1272
angles: 133.79 104.28 90.00
Last column: nearest neighbours and their distance in Å.
Positions (direct):
N 0.0000 0.0000 0.0000  6 Sm 2.47-2.58
Sm 0.0572 0.7884 0.1144  1 N 2.47
Sb 0.6577 0.6387 0.3155  8 Sm 3.18-3.50
Sb 0.3423 0.3613 0.6845  8 Sm 3.18-3.50
Sm 0.6442 0.2315 0.2885  2 N 2.58
Sm 0.9428 0.2116 0.8856  1 N 2.47
Sm 0.3558 0.7685 0.7115  2 N 2.58

#ii
Compound: Sm4Sb2N
Source: the Alexandria database
Functional: PBE-GGA
Structure: relaxed

Output
The value obtained for the calculated volume is 186.6 Å³ per cell. The density of states at the Fermi level is 1.0240 states/eV/atom.

abc: 4.7577 4.7577 8.9054
angles: 105.49 105.49 90.00
Last column: nearest neighbours and their distance in Å.
Positions (direct):
Sm 0.5000 0.0000 0.0000  2 N 2.38
Sm 0.1647 0.1647 0.3294  1 N 2.72
Sm 0.8353 0.8353 0.6706  1 N 2.72
Sb 0.3578 0.3578 0.7156  9 Sm 3.18-3.38
N 0.0000 0.0000 0.0000  4 Sm 2.38
Sm 0.0000 0.5000 0.0000  2 N 2.38
Sb 0.6422 0.6422 0.2844  9 Sm 3.18-3.38

Name the least stable of them. #i.

#i
Compound: SnSbN
Source: the Alexandria database
Functional: PBE-GGA
Structure: relaxed

Output
The value obtained for the calculated volume is 121.4 Å³ per cell. The density of states at the Fermi level is 0.0769 states/eV/atom.

abc: 3.2079 12.6234 3.2076
angles: 75.39 90.00 75.53
Last column: nearest neighbours and their distance in Å.
Positions (direct):
Sn 0.1418 0.1104 0.1404  5 N 2.24-2.30
Sn 0.8582 0.8896 0.8596  5 N 2.24-2.30
N 0.3277 0.9208 0.3286  5 Sn 2.24-2.30
Sb 0.1034 0.6404 0.1066  1 Sn 2.94, 4 Sb 3.21
Sb 0.8966 0.3596 0.8934  1 Sn 2.94, 4 Sb 3.21
N 0.6723 0.0792 0.6714  5 Sn 2.24-2.30

#ii
Compound: SnSbN
Source: the Alexandria database
Functional: PBE-GGA
Structure: relaxed

Output
The value obtained for the calculated volume is 184.4 Å³ per cell. The density of states at the Fermi level is 0.3153 states/eV/atom.

abc: 3.2917 6.6912 8.3733
angles: 88.55 89.59 90.06
Last column: nearest neighbours and their distance in Å.
Positions (direct):
N 0.7124 0.0484 0.7299  1 N 1.12
Sb 0.2126 0.5641 0.5718  1 Sb 2.86, 1 Sn 2.94
Sn 0.2176 0.2847 0.3059  2 Sb 2.94-3.22, 4 Sn 3.13-3.29
Sn 0.7241 0.5315 0.0517  4 Sn 3.13-3.29, 2 Sb 3.16-3.17
Sb 0.2188 0.8043 0.2843  1 Sb 2.86, 2 Sn 3.16-3.17
N 0.7130 0.0510 0.8631  1 N 1.12

Name the least stable of them. #i.

#i
Compound: SnSbN
Source: the Alexandria database
Functional: PBE-GGA
Structure: relaxed

Output
The value obtained for the calculated volume is 164.7 Å³ per cell. The density of states at the Fermi level is 0.3546 states/eV/atom.

abc: 3.0839 7.3753 7.4076
angles: 77.89 89.99 90.00
Last column: nearest neighbours and their distance in Å.
Positions (direct):
N 0.9657 0.8496 0.0003  1 N 1.12
Sn 0.4665 0.0074 0.4783  2 Sb 2.96-3.14, 3 Sn 3.08-3.10
N 0.9657 0.7508 0.9045  1 N 1.12
Sn 0.4664 0.2781 0.7466  2 Sb 2.96-3.15, 3 Sn 3.08-3.10
Sb 0.4672 0.5957 0.4268  2 Sn 2.96-3.14, 3 Sb 3.08-3.09
Sb 0.4672 0.3252 0.1593  2 Sn 2.96-3.15, 3 Sb 3.08-3.09

#ii
Compound: SnSbN
Source: the Alexandria database
Functional: PBE-GGA
Structure: relaxed

Output
The value obtained for the calculated volume is 123.5 Å³ per cell. The density of states at the Fermi level is 0.4553 states/eV/atom.

abc: 3.3601 3.3601 13.3703
angles: 78.66 78.66 57.09
Last column: nearest neighbours and their distance in Å.
Positions (direct):
Sb 0.4527 0.4527 0.7848  3 N 2.24-2.25
Sb 0.2583 0.2583 0.5249  2 N 2.23
N 0.0815 0.0815 0.8745  3 Sb 2.24-2.25, 1 Sn 2.25
Sn 0.9985 0.9985 0.0469  1 N 2.25
Sn 0.6315 0.6315 0.2841  1 N 2.25
N 0.8371 0.8371 0.4069  2 Sb 2.23, 1 Sn 2.25

Name the least stable of them. #ii.